[1]
A relaxed structure of TcNiRh, computed with PBE.

abc: 4.2000 4.2000 2.6148
angles: 90.00 90.00 120.00
With the nearest neighbours (Å) after each atom.
Space group P-6m2 (No. 187)
Asymmetric unit:
1 Tc 0.0000 0.0000 0.0000 (multiplicity 1)  2 Tc 2.61, 6 Ni 2.75, 6 Rh 2.75
2 Ni 0.6667 0.3333 0.5000 (multiplicity 1)  3 Rh 2.42, 2 Ni 2.61
3 Rh 0.3333 0.6667 0.5000 (multiplicity 1)  3 Ni 2.42, 2 Rh 2.61

Properties
Magnetic moment: 0.00 μB per formula unit
Energy relative to the lowest polymorph listed for this composition: 0.1350 eV per atom

[2]
A relaxed structure of MgSc4Ir5, computed with PBE.

abc: 3.2109 3.2109 15.9578
angles: 90.00 90.00 90.00
With the nearest neighbours (Å) after each atom.
Space group P4/mmm (No. 123)
Asymmetric unit:
1 Mg 0.0000 0.0000 0.0000 (multiplicity 1)  8 Ir 2.74
2 Sc 0.0000 0.0000 0.1930 (multiplicity 2)  8 Ir 2.74-2.82
3 Sc 0.0000 0.0000 0.3977 (multiplicity 2)  8 Ir 2.78-2.80
4 Ir 0.5000 0.5000 0.0965 (multiplicity 2)  4 Mg 2.74, 4 Sc 2.74
5 Ir 0.5000 0.5000 0.2975 (multiplicity 2)  8 Sc 2.78-2.82
6 Ir 0.5000 0.5000 0.5000 (multiplicity 1)  8 Sc 2.80

Properties
Magnetic moment: 0.00 μB per formula unit
E_tot: -8.027 eV/atom

[3]
A relaxed structure of PuSbIr4, computed with PBE.

abc: 7.5500 7.5500 7.5500
angles: 90.00 90.00 90.00
With the nearest neighbours (Å) after each atom.
Space group F-43m (No. 216)
Asymmetric unit:
1 Pu 0.0000 0.0000 0.0000 (multiplicity 4)  12 Ir 3.13, 4 Sb 3.27
2 Sb 0.2500 0.2500 0.7500 (multiplicity 4)  12 Ir 3.13, 4 Pu 3.27
3 Ir 0.1249 0.1249 0.3751 (multiplicity 16)  6 Ir 2.67

Properties
Formation energy from raw total energies: -0.194 eV per atom
Magnetic moment: 4.34 μB per formula unit

[4]
A relaxed structure of MgZrFe2, computed with PBE.

abc: 2.8632 2.8632 7.8928
angles: 90.00 90.00 90.00
With the nearest neighbours (Å) after each atom.
Space group P4/mmm (No. 123)
Asymmetric unit:
1 Mg 0.0000 0.0000 0.0000 (multiplicity 1)  8 Fe 2.77, 4 Mg 2.86
2 Zr 0.0000 0.0000 0.5000 (multiplicity 1)  4 Zr 2.86, 8 Fe 2.89
3 Fe 0.5000 0.5000 0.2394 (multiplicity 2)  4 Mg 2.77, 4 Fe 2.86, 4 Zr 2.89

Properties
Magnetic moment: 4.25 μB per formula unit
E_tot: -6.513 eV/atom

[5]
A relaxed structure of TaGeOs3, computed with PBE.

abc: 4.7857 4.7857 4.7857
angles: 90.00 90.00 90.00
With the nearest neighbours (Å) after each atom.
Space group Pm-3m (No. 221)
Asymmetric unit:
1 Ta 0.0000 0.0000 0.0000 (multiplicity 1)  6 Os 2.39
2 Ge 0.5000 0.5000 0.5000 (multiplicity 1)  12 Os 3.38
3 Os 0.0000 0.0000 0.5000 (multiplicity 3)  2 Ta 2.39

Properties
Magnetic moment: 0.64 μB per formula unit
Energy relative to the lowest polymorph listed for this composition: 0.8525 eV per atom

[6]
A relaxed structure of Rb5Hg2Se4, computed with PBE.

abc: 24.2992 5.1066 9.8566
angles: 90.00 98.67 90.00
With the nearest neighbours (Å) after each atom.
Space group C2/m (No. 12)
Asymmetric unit:
1 Rb 0.0000 0.0000 0.0000 (multiplicity 2)  4 Se 3.62, 2 Hg 3.67
2 Rb 0.0818 0.5000 0.6377 (multiplicity 4)  3 Se 3.36-3.49
3 Rb 0.1963 0.5000 0.3581 (multiplicity 4)  4 Se 3.41-3.60, 2 Hg 3.80
4 Hg 0.0800 0.0000 0.3467 (multiplicity 4)  3 Se 2.69-2.80
5 Se 0.0478 0.5000 0.2499 (multiplicity 4)  2 Hg 2.80
6 Se 0.1620 0.0000 0.5630 (multiplicity 4)  1 Hg 2.69

Properties
Formation energy from raw total energies: -0.791 eV per atom
Magnetic moment: 0.00 μB per formula unit

[7]
A relaxed structure of Ce2Zn15Ni2, computed with PBE.

abc: 8.9649 8.9649 13.0940
angles: 90.00 90.00 120.00
With the nearest neighbours (Å) after each atom.
Space group R-3m (No. 166, hexagonal axes)
Asymmetric unit:
1 Ce 0.0000 0.0000 0.1655 (multiplicity 6)  1 Ni 2.94, 12 Zn 3.24-3.28
2 Zn 0.0000 0.2821 0.5000 (multiplicity 18)  8 Zn 2.53-2.78
3 Zn 0.0000 0.5000 0.0000 (multiplicity 9)  8 Zn 2.55-2.60, 2 Ni 2.69
4 Zn 0.0018 0.5009 0.6513 (multiplicity 18)  8 Zn 2.60-2.78, 1 Ni 2.77
5 Ni 0.0000 0.0000 0.3900 (multiplicity 6)  12 Zn 2.69-2.91, 1 Ni 2.88, 1 Ce 2.94

Properties
Magnetic moment: 1.14 μB per formula unit
E_tot: -2.456 eV/atom

[8]
A relaxed structure of CeAlGa, computed with PBE.

abc: 4.5530 4.5530 14.3870
angles: 90.00 90.00 120.00
With the nearest neighbours (Å) after each atom.
Space group P6_3/mmc (No. 194)
Asymmetric unit:
1 Ce 0.0000 0.0000 0.0000 (multiplicity 2)  6 Ga 3.14, 6 Al 3.23
2 Ce 0.0000 0.0000 0.2500 (multiplicity 2)  6 Al 3.14, 6 Ga 3.24
3 Al 0.3333 0.6667 0.1301 (multiplicity 4)  3 Ga 2.63
4 Ga 0.3333 0.6667 0.6188 (multiplicity 4)  3 Al 2.63

Properties
Magnetic moment: 0.58 μB per formula unit
E_tot: -4.731 eV/atom

[9]
A relaxed structure of CaHfH2Pt, computed with PBE.

abc: 4.1559 4.1559 5.0644
angles: 90.00 90.00 90.00
With the nearest neighbours (Å) after each atom.
Space group P4/mmm (No. 123)
Asymmetric unit:
1 Ca 0.0000 0.0000 0.0000 (multiplicity 1)  4 Hf 2.94, 8 H 3.28
2 Hf 0.5000 0.5000 0.0000 (multiplicity 1)  2 Pt 2.53
3 H 0.0000 0.5000 0.5000 (multiplicity 2)  2 Pt 2.08
4 Pt 0.5000 0.5000 0.5000 (multiplicity 1)  4 H 2.08

Properties
Magnetic moment: 0.00 μB per formula unit
E_tot: -4.437 eV/atom

[10]
A relaxed structure of Ca3Ge2Rh2, computed with PBE.

abc: 5.7595 7.7834 13.6316
angles: 90.00 90.00 90.00
With the nearest neighbours (Å) after each atom.
Space group Pbcm (No. 57)
Asymmetric unit:
1 Ca 0.1325 0.2378 0.2500 (multiplicity 4)  3 Ge 3.00-3.19, 4 Rh 3.12-3.13
2 Ca 0.3601 0.6068 0.5992 (multiplicity 8)  4 Rh 2.96-3.12, 3 Ge 3.04-3.23
3 Ge 0.1102 0.2500 0.0000 (multiplicity 4)  4 Rh 2.51-2.55
4 Ge 0.3515 0.5875 0.2500 (multiplicity 4)  2 Rh 2.54
5 Rh 0.1357 0.5289 0.0911 (multiplicity 8)  3 Ge 2.51-2.55

Properties
Magnetic moment: 0.00 μB per formula unit
E_tot: -5.027 eV/atom

[11]
A relaxed structure of ReTeCl3, computed with PBE.

abc: 4.8088 4.8088 4.8088
angles: 90.00 90.00 90.00
With the nearest neighbours (Å) after each atom.
Space group Pm-3m (No. 221)
Asymmetric unit:
1 Re 0.0000 0.0000 0.0000 (multiplicity 1)  6 Cl 2.40
2 Te 0.5000 0.5000 0.5000 (multiplicity 1)  12 Cl 3.40
3 Cl 0.0000 0.0000 0.5000 (multiplicity 3)  2 Re 2.40

Properties
Formation energy from raw total energies: 0.489 eV per atom
Magnetic moment: 0.01 μB per formula unit
Energy relative to the lowest polymorph listed for this composition: 0.0000 eV per atom

[12]
A relaxed structure of CdIrO4, computed with PBE.

abc: 5.8899 4.8864 5.4759
angles: 90.00 106.40 90.00
With the nearest neighbours (Å) after each atom.
Space group P2_1/c (No. 14)
Asymmetric unit:
1 Cd 0.0000 0.0000 0.0000 (multiplicity 2)  6 O 2.21-2.42
2 Ir 0.5000 0.0000 0.5000 (multiplicity 2)  6 O 1.91-1.99
3 O 0.1862 0.1435 0.3998 (multiplicity 4)  1 Ir 1.91
4 O 0.3863 0.7028 0.6724 (multiplicity 4)  2 Ir 1.95-1.99

Properties
Formation energy from raw total energies: -0.710 eV per atom
Magnetic moment: 0.00 μB per formula unit
Energy relative to the lowest polymorph listed for this composition: 0.0000 eV per atom

[13]
A relaxed structure of BaLiHfCd2, computed with PBE.

abc: 5.8009 5.8009 5.0064
angles: 90.00 90.00 90.00
With the nearest neighbours (Å) after each atom.
Space group P4/mmm (No. 123)
Asymmetric unit:
1 Ba 0.0000 0.0000 0.0000 (multiplicity 1)  2 Li 2.50
2 Li 0.0000 0.0000 0.5000 (multiplicity 1)  2 Ba 2.50
3 Hf 0.5000 0.5000 0.5000 (multiplicity 1)  8 Cd 3.83, 4 Li 4.10
4 Cd 0.0000 0.5000 0.0000 (multiplicity 2)  2 Ba 2.90

Properties
Magnetic moment: 0.94 μB per formula unit
E_tot: -1.726 eV/atom